# 1
First-principles (PBE) data for a relaxed Na2SnTe2 crystal, as listed in Alexandria via LeMat-Bulk.

```
Na2SnTe2
1.0
9.0268 0.0000 0.0000
0.0000 9.0268 0.0000
0.0000 0.0000 3.5772
Na Te Sn
4 4 2
Cartesian
1.1504 5.6638 1.7886
5.6638 7.8765 1.7886
7.8765 3.3631 1.7886
3.3631 1.1504 1.7886
2.9491 7.4625 0.0000
7.4625 6.0777 0.0000
6.0777 1.5643 0.0000
1.5643 2.9491 0.0000
0.0000 0.0000 0.0000
4.5134 4.5134 0.0000
```

* energy above the lowest structure with this stoichiometry: 91.7 meV/atom
* ΔE_f (raw): -515 meV/atom

***

# 2
First-principles (PBE) data for a relaxed Na5Sn2Te6 crystal, as listed in Alexandria via LeMat-Bulk.

```
Na5Sn2Te6
1.0
4.7046 0.0000 0.0000
0.0000 12.2803 0.0000
0.0000 0.0000 15.1031
Na Sn Te
10 4 12
Cartesian
2.3523 4.2436 7.6570
2.3523 8.0367 7.4461
2.3523 10.3837 14.9976
2.3523 1.8966 0.1055
2.3523 7.3792 3.4691
2.3523 4.9011 11.6340
2.3523 1.2391 4.0824
2.3523 11.0412 11.0207
2.3523 6.1401 0.0000
2.3523 0.0000 7.5515
0.0000 4.3140 4.3494
0.0000 7.9663 10.7537
0.0000 10.4541 3.2021
0.0000 1.8262 11.9009
0.0000 2.2773 6.3408
0.0000 10.0029 8.7622
0.0000 8.4174 1.2107
0.0000 3.8628 13.8924
2.3523 4.1707 2.6417
2.3523 8.1096 12.4614
2.3523 10.3108 4.9099
2.3523 1.9695 10.1932
0.0000 6.7875 5.5753
0.0000 5.4928 9.5278
0.0000 0.6474 1.9763
0.0000 11.6329 13.1268
```

* ΔE_f (raw): -600 meV/atom

***

# 3
First-principles (PBE) data for a relaxed NaSn2Te2 crystal, as listed in Alexandria via LeMat-Bulk.

```
NaSn2Te2
1.0
-1.9320 3.8559 3.1781
-1.7199 -2.2220 4.5613
4.8118 1.2002 4.5359
Na Sn Te
1 2 2
Cartesian
0.0000 0.0000 0.0000
0.6322 -0.0809 6.4786
0.5277 2.9150 5.7968
-0.0648 0.7471 3.2927
1.2247 2.0870 8.9827
```

* energy above the lowest structure with this stoichiometry: 94.4 meV/atom
* ΔE_f (raw): -189 meV/atom

***

# 4
First-principles (PBE) data for a relaxed NaSnTe2 crystal, as listed in Alexandria via LeMat-Bulk.

```
NaSnTe2
1.0
-3.4782 -2.4043 -0.8601
0.0051 -4.2129 0.9325
-4.0452 -0.6112 7.2438
Na Sn Te
1 1 2
Cartesian
-3.7629 -3.6121 3.6674
-6.3588 -5.0237 7.2874
-3.3845 -0.9761 5.5919
-1.8166 -1.8419 1.6714
```

* ΔE_f (raw): -469 meV/atom

***

# 5
First-principles (PBE) data for a relaxed Na2Sn2Te3 crystal, as listed in Alexandria via LeMat-Bulk.

```
Na2Sn2Te3
1.0
6.8708 0.0000 0.3936
0.0000 8.6908 0.0000
3.4264 0.0000 9.1061
Na Sn Te
4 4 6
Cartesian
9.5613 5.7576 9.0682
6.1259 7.2786 8.8714
4.1712 1.4122 0.6283
0.7359 2.9332 0.4315
6.6698 3.5948 6.3046
7.0627 7.9402 3.3919
3.2344 0.7506 6.1078
3.6273 5.0960 3.1951
3.4354 4.3454 0.1968
0.0000 0.0000 0.0000
7.1025 0.6521 6.5703
6.6300 4.9975 3.1262
3.6671 3.6933 6.3735
3.1946 8.0387 2.9294
```

* energy above the lowest structure with this stoichiometry: 33.5 meV/atom
* ΔE_f (raw): -463 meV/atom

***

# 6
First-principles (PBE) data for a relaxed Na5SnTe4 crystal, as listed in Alexandria via LeMat-Bulk.

```
Na5SnTe4
1.0
4.9280 0.0000 0.0000
0.0000 7.9234 -1.3978
-2.4640 -2.4626 9.2337
Na Sn Te
5 1 4
Cartesian
2.4640 3.1001 5.1382
2.4640 -1.1605 5.8898
0.0000 6.6213 1.9460
2.4640 3.9617 -0.6989
0.0000 2.3608 2.6977
2.4640 0.0000 0.0000
0.0000 4.8934 4.6004
2.4640 3.3334 8.2102
2.4640 0.5674 3.2355
0.0000 2.1274 -0.3744
```

* energy above the lowest structure with this stoichiometry: 0.0 meV/atom
* ΔE_f (raw): -667 meV/atom

***

Number 1: total moment 0.00 μB per cell. Number 2: total moment 0.00 μB per cell. Number 3: total moment 0.00 μB per cell. Number 4: total moment 0.00 μB per cell. Number 5: total moment 0.00 μB per cell. Number 6: total moment 0.00 μB per cell.